No. 1
DFT (GGA-PBE) results for a relaxed structure of KLiTa.

Cell and atoms, written as extended XYZ:
```
3
Lattice="0.0000 3.7065 3.7065 3.7065 0.0000 3.7065 3.7065 3.7065 0.0000" Properties=species:S:1:pos:R:3 pbc="T T T"
K 0.0000 0.0000 0.0000
Li 5.5598 5.5598 5.5598
Ta 3.7065 3.7065 3.7065
```

The calculation puts the polymorph energy (0 for the lowest one) at 1.092 eV per atom. The formation energy comes out at 1.95 eV/atom. The space group is No. 216. For the density of states at the Fermi level, the calculation gives 1.74 states/eV per atom.

=====

No. 2
DFT (GGA-PBE) results for a relaxed structure of Tb2Pr4Dy2Er.

Cell and atoms, written as extended XYZ:
```
9
Lattice="7.6915 -2.5615 0.0000 7.6915 2.5615 0.0000 -2.5679 0.0000 7.6573" Properties=species:S:1:pos:R:3 pbc="T T T"
Tb 1.2761 0.0000 1.3068
Tb 11.5390 0.0000 6.3505
Pr 1.2893 0.0000 6.3630
Pr 6.4275 0.0000 1.2962
Pr 6.3877 0.0000 6.3611
Pr 11.5258 0.0000 1.2943
Dy 3.8386 0.0000 3.8321
Dy 8.9765 0.0000 3.8253
Er -1.2839 0.0000 3.8287
```

The formation energy comes out at 0.02 eV/atom. The space group is No. 12. For the density of states at the Fermi level, the calculation gives 1.56 states/eV per atom.

=====

No. 3
DFT (GGA-PBE) results for a relaxed structure of Na2Ca2Mg.

Cell and atoms, written as extended XYZ:
```
10
Lattice="8.7371 0.0000 0.0000 0.0000 8.7371 0.0000 0.0000 0.0000 5.1908" Properties=species:S:1:pos:R:3 pbc="T T T"
Na 1.3379 3.0307 0.0000
Na 3.0307 7.3992 0.0000
Na 5.7064 1.3379 0.0000
Na 7.3992 5.7064 0.0000
Ca 1.3334 5.7020 2.5954
Ca 3.0352 1.3334 2.5954
Ca 5.7020 7.4037 2.5954
Ca 7.4037 3.0352 2.5954
Mg 0.0000 0.0000 2.5954
Mg 4.3686 4.3686 2.5954
```

The calculation puts the polymorph energy (0 for the lowest one) at 0.093 eV per atom. The formation energy comes out at 0.22 eV/atom. The space group is No. 127. For the density of states at the Fermi level, the calculation gives 0.97 states/eV per atom.